## PuScAu (PBE-GGA)

Data for PuScAu after structural relaxation.

Output
The energy above the lowest structure with this stoichiometry is 11.1 kJ per mole of atoms. The calculated formation energy comes out at -0.221 eV per atom. The symmetry is P3m1 (156). As for the spin magnetization: 5.90 μB per cell.

Lattice parameters (Å, degrees): 3.313 4.877 4.877 120.00 90.00 90.00
Atoms (fractional coordinates):
Sc 0.258 0.333 0.667
Au 0.065 0.000 0.000
Pu 0.677 0.667 0.333

***

## Pu2ScAu3 (PBE-GGA)

Data for Pu2ScAu3 after structural relaxation.

Output
The calculated formation energy comes out at -0.537 eV per atom. The symmetry is P4/mmm (123). As for the spin magnetization: 11.67 μB per cell.

Lattice parameters (Å, degrees): 3.399 3.399 11.574 90.00 90.00 90.00
Atoms (fractional coordinates):
Pu 0.500 0.500 0.823
Au 0.000 0.000 0.361
Sc 0.500 0.500 0.500
Pu 0.500 0.500 0.177
Au 0.000 0.000 0.000
Au 0.000 0.000 0.639

***

## PuScAu2 (PBE-GGA)

Data for PuScAu2 after structural relaxation.

Output
The energy above the lowest structure with this stoichiometry is 20.9 kJ per mole of atoms. The calculated formation energy comes out at -0.394 eV per atom. The symmetry is R-3m (166). As for the spin magnetization: 6.00 μB per cell.

Lattice parameters (Å, degrees): 3.835 3.835 7.951 76.05 76.05 60.00
Atoms (fractional coordinates):
Pu 0.500 0.500 0.500
Au 0.741 0.741 0.776
Sc 0.000 0.000 0.000
Au 0.259 0.259 0.224

***

Repeat the second record exactly.
## Pu2ScAu3 (PBE-GGA)

Data for Pu2ScAu3 after structural relaxation.

Output
The calculated formation energy comes out at -0.537 eV per atom. The symmetry is P4/mmm (123). As for the spin magnetization: 11.67 μB per cell.

Lattice parameters (Å, degrees): 3.399 3.399 11.574 90.00 90.00 90.00
Atoms (fractional coordinates):
Pu 0.500 0.500 0.823
Au 0.000 0.000 0.361
Sc 0.500 0.500 0.500
Pu 0.500 0.500 0.177
Au 0.000 0.000 0.000
Au 0.000 0.000 0.639